The following is a PBE-GGA calculation of an optimized crystal structure of Tl2Hg9Bi, from Alexandria via LeMat-Bulk.

## Properties
Energy, eV/f.u.: -11.2
DOS at the Fermi energy, states/eV/cell: 2.83

Cell: 3.5273 5.6034 17.2223 Å, 90.00 90.00 90.00°
Positions (direct):
Tl 0.0000 0.0000 0.1749
Tl 0.0000 0.0000 0.8251
Hg 0.0000 0.5000 0.0000
Hg 0.0000 0.5000 0.3341
Hg 0.0000 0.5000 0.6659
Hg 0.5000 0.0000 0.0000
Hg 0.5000 0.0000 0.3361
Hg 0.5000 0.0000 0.6639
Hg 0.5000 0.5000 0.1671
Hg 0.5000 0.5000 0.5000
Hg 0.5000 0.5000 0.8329
Bi 0.0000 0.0000 0.5000